Record 1
# MgCrHPd2 (PBE-GGA, optimized geometry)
# * crystal system: tetragonal
# * total magnetic moment: 4.47 μB per cell
data_MgCrHPd2
_chemical_formula_sum 'Mg1 Cr1 H1 Pd2'
_symmetry_space_group_name_H-M 'P 4/m m m'
_symmetry_Int_Tables_number 123
_symmetry_space_group_name_Hall '-P 4 2'
_cell_length_a 4.105
_cell_length_b 4.105
_cell_length_c 3.900
_cell_angle_alpha 90.00
_cell_angle_beta 90.00
_cell_angle_gamma 90.00
loop_
_atom_site_label
_atom_site_type_symbol
_atom_site_fract_x
_atom_site_fract_y
_atom_site_fract_z
_atom_site_occupancy
Mg1 Mg 0.000 0.000 0.000 1
Cr1 Cr 0.500 0.500 0.000 1
H1 H 0.500 0.500 0.500 1
Pd1 Pd 0.000 0.500 0.500 1


Record 2
# PmMg2CrH8 (PBE-GGA, optimized geometry)
# * crystal system: monoclinic
# * total magnetic moment: 0.70 μB per cell
data_PmMg2CrH8
_chemical_formula_sum 'Pm1 Mg2 Cr1 H8'
_symmetry_space_group_name_H-M 'P 1 2/m 1'
_symmetry_Int_Tables_number 10
_cell_length_a 3.423
_cell_length_b 6.504
_cell_length_c 4.752
_cell_angle_alpha 90.00
_cell_angle_beta 90.28
_cell_angle_gamma 90.00
loop_
_symmetry_equiv_pos_as_xyz
'x,y,z'
'-x,-y,-z'
'-x,y,-z'
'x,-y,z'
loop_
_atom_site_label
_atom_site_type_symbol
_atom_site_fract_x
_atom_site_fract_y
_atom_site_fract_z
_atom_site_occupancy
Pm1 Pm 0.000 0.000 0.000 1
Mg1 Mg 0.500 0.273 0.500 1
Cr1 Cr 0.000 0.500 0.000 1
H1 H 0.001 0.296 0.250 1
H2 H 0.498 0.000 0.715 1
H3 H 0.499 0.500 0.804 1


| no. | VASP energy (eV/f.u.) |
| --- | --- |
| 1 | -26.14 |
| 2 | -45.69 |